A plane-wave DFT calculation with PBE-GGA was carried out for an optimized crystal structure of CsAs2Se4.

Values from the calculation:
- space group = Cmcm (63)
- total DFT energy (no corrections) (eV/atom) = -3.68

a = 6.892 Å, b = 6.892 Å, c = 15.278 Å
α = 90.00°, β = 90.00°, γ = 147.68°
Atoms (fractional coordinates):
1 Cs 0.080 0.920 0.750
2 Cs 0.920 0.080 0.250
3 As 0.357 0.643 0.558
4 As 0.357 0.643 0.942
5 As 0.643 0.357 0.058
6 As 0.643 0.357 0.442
7 Se 0.000 0.000 0.000
8 Se 0.000 0.000 0.500
9 Se 0.274 0.726 0.095
10 Se 0.274 0.726 0.405
11 Se 0.356 0.644 0.750
12 Se 0.644 0.356 0.250
13 Se 0.726 0.274 0.595
14 Se 0.726 0.274 0.905


A plane-wave DFT calculation with PBE-GGA was carried out for an optimized crystal structure of CsAsSe3.

Values from the calculation:
- space group = Pm-3m (221)
- total DFT energy (no corrections) (eV/atom) = -3.38

a = 5.276 Å, b = 5.276 Å, c = 5.276 Å
α = 90.00°, β = 90.00°, γ = 90.00°
Atoms (fractional coordinates):
1 Cs 0.000 0.000 0.000
2 As 0.500 0.500 0.500
3 Se 0.000 0.500 0.500
4 Se 0.500 0.000 0.500
5 Se 0.500 0.500 0.000


A plane-wave DFT calculation with PBE-GGA was carried out for an optimized crystal structure of Cs4AsSe4.

Values from the calculation:
- space group = I4/m (87)
- total DFT energy (no corrections) (eV/atom) = -3.12

a = 8.293 Å, b = 8.293 Å, c = 8.293 Å
α = 100.91°, β = 100.91°, γ = 128.42°
Atoms (fractional coordinates):
1 Cs 0.083 0.706 0.789
2 Cs 0.294 0.083 0.377
3 Cs 0.706 0.917 0.623
4 Cs 0.917 0.294 0.211
5 As 0.500 0.500 0.000
6 Se 0.268 0.423 0.691
7 Se 0.423 0.732 0.155
8 Se 0.577 0.268 0.845
9 Se 0.732 0.577 0.309


A plane-wave DFT calculation with PBE-GGA was carried out for an optimized crystal structure of CsAs2Se3.

Values from the calculation:
- space group = Cmcm (63)
- total DFT energy (no corrections) (eV/atom) = -3.76

a = 7.954 Å, b = 7.954 Å, c = 6.543 Å
α = 90.00°, β = 90.00°, γ = 90.59°
Atoms (fractional coordinates):
1 Cs 0.182 0.818 0.750
2 Cs 0.818 0.182 0.250
3 As 0.320 0.320 0.000
4 As 0.320 0.320 0.500
5 As 0.680 0.680 0.000
6 As 0.680 0.680 0.500
7 Se 0.076 0.329 0.750
8 Se 0.329 0.076 0.250
9 Se 0.422 0.578 0.250
10 Se 0.578 0.422 0.750
11 Se 0.671 0.924 0.750
12 Se 0.924 0.671 0.250


A plane-wave DFT calculation with PBE-GGA was carried out for an optimized crystal structure of CsAsSe3.

Values from the calculation:
- space group = P2_1 (4)
- total DFT energy (no corrections) (eV/atom) = -3.72

a = 5.111 Å, b = 8.312 Å, c = 8.832 Å
α = 90.00°, β = 101.35°, γ = 90.00°
Atoms (fractional coordinates):
1 Cs 0.069 0.000 0.190
2 Cs 0.931 0.500 0.810
3 As 0.287 0.034 0.765
4 As 0.713 0.534 0.235
5 Se 0.092 0.399 0.413
6 Se 0.418 0.601 0.427
7 Se 0.488 0.822 0.911
8 Se 0.512 0.322 0.089
9 Se 0.582 0.101 0.573
10 Se 0.908 0.899 0.587


A plane-wave DFT calculation with PBE-GGA was carried out for an optimized crystal structure of Cs2As2Se.

Values from the calculation:
- space group = I4/mmm (139)
- total DFT energy (no corrections) (eV/atom) = -3.21

a = 7.188 Å, b = 7.188 Å, c = 7.720 Å
α = 90.00°, β = 90.00°, γ = 90.00°
Atoms (fractional coordinates):
1 Cs 0.000 0.500 0.250
2 Cs 0.000 0.500 0.750
3 Cs 0.500 0.000 0.250
4 Cs 0.500 0.000 0.750
5 As 0.000 0.000 0.154
6 As 0.000 0.000 0.846
7 As 0.500 0.500 0.346
8 As 0.500 0.500 0.654
9 Se 0.000 0.000 0.500
10 Se 0.500 0.500 0.000


A plane-wave DFT calculation with PBE-GGA was carried out for an optimized crystal structure of CsAsSe3.

Values from the calculation:
- space group = R3c (161)
- total DFT energy (no corrections) (eV/atom) = -3.47

a = 7.182 Å, b = 7.182 Å, c = 7.182 Å
α = 76.37°, β = 76.37°, γ = 76.37°
Atoms (fractional coordinates):
1 Cs 0.000 0.000 0.000
2 Cs 0.500 0.500 0.500
3 As 0.255 0.255 0.255
4 As 0.755 0.755 0.755
5 Se 0.152 0.975 0.464
6 Se 0.464 0.152 0.975
7 Se 0.475 0.652 0.964
8 Se 0.652 0.964 0.475
9 Se 0.964 0.475 0.652
10 Se 0.975 0.464 0.152


A plane-wave DFT calculation with PBE-GGA was carried out for an optimized crystal structure of Cs3AsSe4.

Values from the calculation:
- space group = Pnma (62)
- total DFT energy (no corrections) (eV/atom) = -3.51

a = 10.221 Å, b = 12.118 Å, c = 10.565 Å
α = 90.00°, β = 90.00°, γ = 90.00°
Atoms (fractional coordinates):
1 Cs 0.048 0.043 0.197
2 Cs 0.048 0.457 0.197
3 Cs 0.151 0.750 0.416
4 Cs 0.349 0.250 0.916
5 Cs 0.452 0.543 0.697
6 Cs 0.452 0.957 0.697
7 Cs 0.548 0.043 0.303
8 Cs 0.548 0.457 0.303
9 Cs 0.651 0.750 0.084
10 Cs 0.849 0.250 0.584
11 Cs 0.952 0.543 0.803
12 Cs 0.952 0.957 0.803
13 As 0.233 0.750 0.977
14 As 0.267 0.250 0.477
15 As 0.733 0.750 0.523
16 As 0.767 0.250 0.023
17 Se 0.026 0.750 0.078
18 Se 0.153 0.088 0.534
19 Se 0.153 0.412 0.534
20 Se 0.203 0.750 0.756
21 Se 0.297 0.250 0.256
22 Se 0.347 0.588 0.034
23 Se 0.347 0.912 0.034
24 Se 0.474 0.250 0.578
25 Se 0.526 0.750 0.422
26 Se 0.653 0.088 0.966
27 Se 0.653 0.412 0.966
28 Se 0.703 0.750 0.744
29 Se 0.797 0.250 0.244
30 Se 0.847 0.588 0.466
31 Se 0.847 0.912 0.466
32 Se 0.974 0.250 0.922


A plane-wave DFT calculation with PBE-GGA was carried out for an optimized crystal structure of CsSiAs2Se.

Values from the calculation:
- space group = P4/mmm (123)
- total DFT energy (no corrections) (eV/atom) = -1.94

a = 5.820 Å, b = 5.820 Å, c = 5.525 Å
α = 90.00°, β = 90.00°, γ = 90.00°
Atoms (fractional coordinates):
1 Cs 0.000 0.000 0.000
2 Si 0.500 0.500 0.500
3 As 0.000 0.500 0.000
4 As 0.500 0.000 0.000
5 Se 0.000 0.000 0.500


A plane-wave DFT calculation with PBE-GGA was carried out for an optimized crystal structure of CsSiAs2Se.

Values from the calculation:
- space group = P4/mmm (123)
- total DFT energy (no corrections) (eV/atom) = -3.65

a = 5.010 Å, b = 5.010 Å, c = 5.273 Å
α = 90.00°, β = 90.00°, γ = 90.00°
Atoms (fractional coordinates):
1 Cs 0.000 0.000 0.000
2 Si 0.500 0.500 0.500
3 As 0.000 0.500 0.500
4 As 0.500 0.000 0.500
5 Se 0.500 0.500 0.000


A plane-wave DFT calculation with PBE-GGA was carried out for an optimized crystal structure of Cs2SmAsSe4.

Values from the calculation:
- space group = Fddd (70)
- total DFT energy (no corrections) (eV/atom) = -4.14

a = 15.228 Å, b = 13.663 Å, c = 8.333 Å
α = 83.89°, β = 63.14°, γ = 32.96°
Atoms (fractional coordinates):
1 Cs 0.056 0.056 0.694
2 Cs 0.306 0.306 0.944
3 Cs 0.694 0.694 0.056
4 Cs 0.944 0.944 0.306
5 Sm 0.125 0.125 0.125
6 Sm 0.875 0.875 0.875
7 As 0.375 0.375 0.375
8 As 0.625 0.625 0.625
9 Se 0.012 0.343 0.438
10 Se 0.293 0.562 0.657
11 Se 0.343 0.012 0.707
12 Se 0.438 0.707 0.012
13 Se 0.562 0.293 0.988
14 Se 0.657 0.988 0.293
15 Se 0.707 0.438 0.343
16 Se 0.988 0.657 0.562


A plane-wave DFT calculation with PBE-GGA was carried out for an optimized crystal structure of CsSn2AsSe.

Values from the calculation:
- space group = P4/mmm (123)
- total DFT energy (no corrections) (eV/atom) = -3.33

a = 5.553 Å, b = 5.553 Å, c = 5.630 Å
α = 90.00°, β = 90.00°, γ = 90.00°
Atoms (fractional coordinates):
1 Cs 0.000 0.000 0.000
2 Sn 0.000 0.500 0.500
3 Sn 0.500 0.000 0.500
4 As 0.500 0.500 0.500
5 Se 0.500 0.500 0.000


A plane-wave DFT calculation with PBE-GGA was carried out for an optimized crystal structure of Cs2Sn2As2Se.

Values from the calculation:
- space group = P-1 (2)
- total DFT energy (no corrections) (eV/atom) = -3.71

a = 4.821 Å, b = 8.048 Å, c = 8.164 Å
α = 67.02°, β = 72.88°, γ = 72.69°
Atoms (fractional coordinates):
1 Cs 0.066 0.209 0.161
2 Cs 0.934 0.791 0.839
3 Sn 0.297 0.327 0.579
4 Sn 0.703 0.673 0.421
5 As 0.311 0.616 0.262
6 As 0.689 0.384 0.738
7 Se 0.500 0.000 0.500


A plane-wave DFT calculation with PBE-GGA was carried out for an optimized crystal structure of CsSrAsSe2.

Values from the calculation:
- space group = P4/mmm (123)
- total DFT energy (no corrections) (eV/atom) = -3.17

a = 5.960 Å, b = 5.960 Å, c = 6.079 Å
α = 90.00°, β = 90.00°, γ = 90.00°
Atoms (fractional coordinates):
1 Cs 0.000 0.000 0.000
2 Sr 0.500 0.500 0.500
3 As 0.500 0.500 0.000
4 Se 0.000 0.500 0.500
5 Se 0.500 0.000 0.500


A plane-wave DFT calculation with PBE-GGA was carried out for an optimized crystal structure of CsSrAs2Se.

Values from the calculation:
- space group = P4/mmm (123)
- total DFT energy (no corrections) (eV/atom) = -3.06

a = 5.849 Å, b = 5.849 Å, c = 5.880 Å
α = 90.00°, β = 90.00°, γ = 90.00°
Atoms (fractional coordinates):
1 Cs 0.000 0.000 0.000
2 Sr 0.500 0.500 0.500
3 As 0.000 0.500 0.500
4 As 0.500 0.000 0.500
5 Se 0.500 0.500 0.000


A plane-wave DFT calculation with PBE-GGA was carried out for an optimized crystal structure of CsSrAs2Se.

Values from the calculation:
- space group = P4/mmm (123)
- total DFT energy (no corrections) (eV/atom) = -2.45

a = 5.725 Å, b = 5.725 Å, c = 5.946 Å
α = 90.00°, β = 90.00°, γ = 90.00°
Atoms (fractional coordinates):
1 Cs 0.000 0.000 0.000
2 Sr 0.500 0.500 0.500
3 As 0.000 0.500 0.000
4 As 0.500 0.000 0.000
5 Se 0.000 0.000 0.500


A plane-wave DFT calculation with PBE-GGA was carried out for an optimized crystal structure of CsSrAsSe2.

Values from the calculation:
- space group = P4/mmm (123)
- total DFT energy (no corrections) (eV/atom) = -2.49

a = 5.861 Å, b = 5.861 Å, c = 5.700 Å
α = 90.00°, β = 90.00°, γ = 90.00°
Atoms (fractional coordinates):
1 Cs 0.000 0.000 0.000
2 Sr 0.500 0.500 0.500
3 As 0.000 0.000 0.500
4 Se 0.000 0.500 0.000
5 Se 0.500 0.000 0.000


A plane-wave DFT calculation with PBE-GGA was carried out for an optimized crystal structure of CsTaAsSe2.

Values from the calculation:
- space group = P4/mmm (123)
- total DFT energy (no corrections) (eV/atom) = -5.39

a = 5.179 Å, b = 5.179 Å, c = 5.142 Å
α = 90.00°, β = 90.00°, γ = 90.00°
Atoms (fractional coordinates):
1 Cs 0.000 0.000 0.000
2 Ta 0.500 0.500 0.500
3 As 0.500 0.500 0.000
4 Se 0.000 0.500 0.500
5 Se 0.500 0.000 0.500


A plane-wave DFT calculation with PBE-GGA was carried out for an optimized crystal structure of CsTaAsSe2.

Values from the calculation:
- space group = P4/mmm (123)
- total DFT energy (no corrections) (eV/atom) = -2.64

a = 5.425 Å, b = 5.425 Å, c = 5.710 Å
α = 90.00°, β = 90.00°, γ = 90.00°
Atoms (fractional coordinates):
1 Cs 0.000 0.000 0.000
2 Ta 0.500 0.500 0.500
3 As 0.000 0.000 0.500
4 Se 0.000 0.500 0.000
5 Se 0.500 0.000 0.000


A plane-wave DFT calculation with PBE-GGA was carried out for an optimized crystal structure of Cs2TbAsSe4.

Values from the calculation:
- space group = Fddd (70)
- total DFT energy (no corrections) (eV/atom) = -4.15

a = 15.175 Å, b = 13.611 Å, c = 8.292 Å
α = 83.96°, β = 63.12°, γ = 32.92°
Atoms (fractional coordinates):
1 Cs 0.056 0.056 0.694
2 Cs 0.306 0.306 0.944
3 Cs 0.694 0.694 0.056
4 Cs 0.944 0.944 0.306
5 Tb 0.125 0.125 0.125
6 Tb 0.875 0.875 0.875
7 As 0.375 0.375 0.375
8 As 0.625 0.625 0.625
9 Se 0.016 0.339 0.432
10 Se 0.287 0.568 0.661
11 Se 0.339 0.016 0.713
12 Se 0.432 0.713 0.016
13 Se 0.568 0.287 0.984
14 Se 0.661 0.984 0.287
15 Se 0.713 0.432 0.339
16 Se 0.984 0.661 0.568